(1)
The following is a PBE calculation of crystalline YPSe2 at its relaxed geometry, from the Alexandria database.

Properties
- V: 21.09 Å³/atom
- E_form (uncorrected): -52.56 kJ/mol of atoms

Cell lengths 5.8887, 5.8887, 5.8887 Å; angles 139.78, 139.78, 58.19 degrees
Last column: nearest neighbours and their distance in Å.
Sites, in units of the cell vectors:
Y: 0.5000 0.5000 0.0000  4 P 2.86
Se: 0.2500 0.7500 0.5000  4 Se 2.86
Se: 0.7500 0.2500 0.5000  4 Se 2.86
P: 0.0000 0.0000 0.0000  4 Y 2.86

(2)
The following is a PBE calculation of crystalline SrLi2RuPb at its relaxed geometry, from the Alexandria database.

Properties
- V: 23.52 Å³/atom
- Energy relative to the elements: 1630 meV per atom

Cell lengths 4.5320, 5.7265, 4.5320 Å; angles 90.00, 90.00, 90.00 degrees
Last column: nearest neighbours and their distance in Å.
Sites, in units of the cell vectors:
Ru: 0.5000 0.5000 0.5000  4 Pb 3.20
Li: 0.5000 0.0000 0.0000  2 Sr 2.27
Li: 0.0000 0.0000 0.5000  2 Sr 2.27
Pb: 0.0000 0.5000 0.0000  2 Sr 2.86, 4 Ru 3.20
Sr: 0.0000 0.0000 0.0000  4 Li 2.27

(3)
The following is a PBE calculation of crystalline La3Sm6Cd at its relaxed geometry, from the Alexandria database.

Properties
- V: 34.36 Å³/atom
- Energy relative to the elements: 64 meV per atom

Cell lengths 6.4938, 10.3662, 10.3662 Å; angles 100.01, 90.00, 90.00 degrees
Last column: nearest neighbours and their distance in Å.
Sites, in units of the cell vectors:
Sm: 0.9041 0.4062 0.0147  1 Cd 3.32, 2 Sm 3.42-3.57, 2 La 3.48-3.65
Sm: 0.5973 0.3252 0.4352  3 Sm 3.19-3.49, 3 La 3.32-3.54
Sm: 0.2626 0.9534 0.0466  2 Cd 3.10-3.27, 1 Sm 3.42, 2 La 3.44
Sm: 0.5973 0.5648 0.6748  3 Sm 3.19-3.49, 3 La 3.32-3.54
Sm: 0.7626 0.0466 0.9534  2 Cd 3.10-3.27, 1 Sm 3.42, 2 La 3.44
Sm: 0.4041 0.0147 0.4062  1 Cd 3.32, 2 Sm 3.42-3.57, 2 La 3.48-3.65
Sm: 0.9041 0.9853 0.5938  1 Cd 3.32, 2 Sm 3.42-3.57, 2 La 3.48-3.65
Sm: 0.0973 0.4352 0.3252  3 Sm 3.19-3.49, 3 La 3.32-3.54
Sm: 0.0973 0.6748 0.5648  3 Sm 3.19-3.49, 3 La 3.32-3.54
Sm: 0.5892 0.2496 0.7504  1 Cd 3.17, 3 Sm 3.42-3.49
Sm: 0.0892 0.7504 0.2496  1 Cd 3.17, 3 Sm 3.42-3.49
Sm: 0.4041 0.5938 0.9853  1 Cd 3.32, 2 Sm 3.42-3.57, 2 La 3.48-3.65
La: 0.9385 0.1107 0.2862  6 Sm 3.32-3.65, 1 Cd 3.38
La: 0.5947 0.6440 0.3560  1 Cd 3.22, 2 Sm 3.54
La: 0.9385 0.7138 0.8893  6 Sm 3.32-3.65, 1 Cd 3.38
La: 0.4385 0.2862 0.1107  6 Sm 3.32-3.65, 1 Cd 3.38
La: 0.0947 0.3560 0.6440  1 Cd 3.22, 2 Sm 3.54
La: 0.4385 0.8893 0.7138  6 Sm 3.32-3.65, 1 Cd 3.38
Cd: 0.6591 0.8449 0.1551  5 Sm 3.10-3.32, 3 La 3.22-3.38
Cd: 0.1591 0.1551 0.8449  5 Sm 3.10-3.32, 3 La 3.22-3.38

(4)
The following is a PBE calculation of crystalline SnPHS at its relaxed geometry, from the Alexandria database.

Properties
- V: 23.43 Å³/atom
- Energy above the lowest structure with this stoichiometry: 0.0000 eV per atom

Cell lengths 3.8440, 3.9959, 6.1449 Å; angles 90.00, 96.75, 90.00 degrees
Last column: nearest neighbours and their distance in Å.
Sites, in units of the cell vectors:
Sn: 0.4007 0.5000 0.8064  2 S 2.45-2.46, 2 P 2.56
H: 0.0258 0.0000 0.4950  1 P 1.43
S: 0.9465 0.5000 0.0561  2 Sn 2.45-2.46
P: 0.3997 0.0000 0.5462  1 H 1.43

(5)
The following is a PBE calculation of crystalline Pm4ZnSn3 at its relaxed geometry, from the Alexandria database.

Properties
- V: 28.94 Å³/atom
- Energy relative to the elements: -654 meV per atom

Cell lengths 4.5469, 4.3829, 11.6178 Å; angles 90.00, 90.00, 90.00 degrees
Last column: nearest neighbours and their distance in Å.
Sites, in units of the cell vectors:
Pm: 0.0000 0.5000 0.8659  5 Sn 3.20-3.23, 2 Zn 3.36
Pm: 0.0000 0.0000 0.1363  3 Sn 3.20-3.36, 4 Zn 3.23
Pm: 0.5000 0.5000 0.3560  1 Zn 3.22, 6 Sn 3.22-3.55
Pm: 0.5000 0.0000 0.6383  7 Sn 3.21-3.48
Sn: 0.5000 0.0000 0.9228  2 Zn 2.84
Sn: 0.0000 0.0000 0.4116  2 Sn 3.02, 5 Pm 3.20-3.22
Sn: 0.0000 0.5000 0.5903  2 Sn 3.02, 5 Pm 3.20-3.21
Zn: 0.5000 0.5000 0.0787  2 Sn 2.84

(6)
The following is a PBE calculation of crystalline BaAsSe2 at its relaxed geometry, from the Alexandria database.

Properties
- V: 26.93 Å³/atom
- E_form (uncorrected): -52.25 kJ/mol of atoms

Cell lengths 6.3539, 6.3539, 6.3539 Å; angles 139.37, 139.37, 58.80 degrees
Last column: nearest neighbours and their distance in Å.
Sites, in units of the cell vectors:
As: 0.5000 0.5000 0.0000  4 Se 3.12
Ba: 0.7500 0.2500 0.5000  4 Se 3.12
Se: 0.0000 0.0000 0.0000  4 As 3.12
Se: 0.2500 0.7500 0.5000  4 Ba 3.12